Run one
## Cu2PtRh (meta-GGA SCAN)

Data for a PBEsol-optimized structure of Cu2PtRh.

Unit cell a=8.765 b=2.680 c=4.498 alpha=90.00 beta=101.22 gamma=90.00
Space group Cm (No. 8)
Inequivalent atoms, fractional coordinates:
Cu 0.000 0.000 0.000 x2
Cu 0.247 0.500 0.235 x2
Pt 0.499 0.000 0.495 x2
Rh 0.249 0.000 0.742 x2

Run two
## Cu2PtRh (meta-GGA SCAN)

Data for a PBEsol-optimized structure of Cu2PtRh.

Unit cell a=2.682 b=4.351 c=4.516 alpha=90.00 beta=90.00 gamma=90.00
Space group Pmmm (No. 47)
Inequivalent atoms, fractional coordinates:
Cu 0.000 0.000 0.000 x1
Cu 0.500 0.000 0.500 x1
Pt 0.000 0.500 0.500 x1
Rh 0.500 0.500 0.000 x1

Run three
## Cu2PtRh (meta-GGA SCAN)

Data for a PBEsol-optimized structure of Cu2PtRh.

Unit cell a=2.6587 b=2.6587 c=25.5006 alpha=90.00 beta=90.00 gamma=120.00
Space group R-3m (No. 166, hexagonal axes)
Inequivalent atoms, fractional coordinates:
Cu 0.0000 0.0000 0.2487 x6
Pt 0.0000 0.0000 0.0000 x3
Rh 0.0000 0.0000 0.5000 x3

Stability summary: most stable run three, least stable run two.